Here is a relaxed Pu3Si3Tc2 crystal from Alexandria via LeMat-Bulk. Energies are from PBE.

abc: 5.5398 5.5398 14.0132
angles: 90.00 90.00 134.96
Last column: nearest neighbours and their distance in Å.
Atoms (fractional coordinates):
Pu  0.0743  0.9257  0.7500  5 Si 2.93-3.09
Pu  0.4054  0.5946  0.6173  4 Tc 2.94-3.21, 7 Si 3.09-3.23
Pu  0.4054  0.5946  0.8827  4 Tc 2.94-3.21, 7 Si 3.09-3.23
Pu  0.5946  0.4054  0.1173  4 Tc 2.94-3.21, 7 Si 3.09-3.23
Pu  0.5946  0.4054  0.3827  4 Tc 2.94-3.21, 7 Si 3.09-3.23
Pu  0.9257  0.0743  0.2500  5 Si 2.93-3.09
Si  0.1071  0.8929  0.5423  3 Tc 2.44-2.50, 1 Si 2.49
Si  0.1071  0.8929  0.9577  3 Tc 2.44-2.50, 1 Si 2.49
Si  0.2279  0.7721  0.2500  2 Tc 2.47
Si  0.7721  0.2279  0.7500  2 Tc 2.47
Si  0.8929  0.1071  0.0423  3 Tc 2.44-2.50, 1 Si 2.49
Si  0.8929  0.1071  0.4577  3 Tc 2.44-2.50, 1 Si 2.49
Tc  0.2857  0.7143  0.0790  4 Si 2.44-2.50
Tc  0.2857  0.7143  0.4210  4 Si 2.44-2.50
Tc  0.7143  0.2857  0.5790  4 Si 2.44-2.50
Tc  0.7143  0.2857  0.9210  4 Si 2.44-2.50

Properties
Crystal system: orthorhombic
Size of the total moment (μB per formula unit): 15.8
E_tot (eV per atom): -10.44